1.
This record from Alexandria describes a relaxed structure of LaAsIr. The functional is PBE.

* space-group type: I4mm
* theoretical density: 10.6 Mg/m³
* calculated formation energy: -0.469 eV/atom
* E: -6.62 eV/atom

a = 5.9614 Å, b = 5.9613 Å, c = 3.4103 Å
α = 73.38°, β = 73.38°, γ = 33.24°
Last column: nearest neighbours and their distance in Å.
Element x y z (fractional)
As  0.9605  0.9605  0.0395  4 Ir 2.62
Ir  0.3663  0.3663  0.6337  4 As 2.62
La  0.6732  0.6732  0.3268  5 As 3.13-3.35, 5 Ir 3.20-3.35, 4 La 3.41

=====

2.
This record from Alexandria describes a relaxed structure of LaAs12Ir4. The functional is PBE.

* space-group type: Im-3
* theoretical density: 9.1 Mg/m³
* calculated formation energy: -0.483 eV/atom
* E: -6.14 eV/atom

a = 7.5330 Å, b = 7.5330 Å, c = 7.5330 Å
α = 109.47°, β = 109.47°, γ = 109.47°
Last column: nearest neighbours and their distance in Å.
Element x y z (fractional)
La  0.0000  0.0000  0.0000  12 As 3.25
As  0.8553  0.5113  0.6561  2 Ir 2.50, 2 As 2.52-2.72
As  0.3439  0.8553  0.1992  2 Ir 2.50, 2 As 2.52-2.72
As  0.8008  0.6561  0.1447  2 Ir 2.50, 2 As 2.52-2.72
As  0.3439  0.1447  0.4887  2 Ir 2.50, 2 As 2.52-2.72
As  0.1992  0.3439  0.8553  2 Ir 2.50, 2 As 2.52-2.72
As  0.6561  0.1447  0.8008  2 Ir 2.50, 2 As 2.52-2.72
As  0.4887  0.3439  0.1447  2 Ir 2.50, 2 As 2.52-2.72
As  0.5113  0.6561  0.8553  2 Ir 2.50, 2 As 2.52-2.72
As  0.6561  0.8553  0.5113  2 Ir 2.50, 2 As 2.52-2.72
As  0.8553  0.1992  0.3439  2 Ir 2.50, 2 As 2.52-2.72
As  0.1447  0.8008  0.6561  2 Ir 2.50, 2 As 2.52-2.72
As  0.1447  0.4887  0.3439  2 Ir 2.50, 2 As 2.52-2.72
Ir  0.0000  0.5000  0.0000  6 As 2.50
Ir  0.5000  0.5000  0.5000  6 As 2.50
Ir  0.5000  0.0000  0.0000  6 As 2.50
Ir  0.0000  0.0000  0.5000  6 As 2.50